1.
Computed, not measured: a relaxed structure of Tb6PrHo12 at the GGA-PBE level of DFT.

Results
Total magnetization: 0.000 μB/atom
ΔE_f: 0.34 eV per formula unit
Distance to the lowest polymorph of the same formula: 0.000 eV per atom

CIF file:
```
data_Tb6PrHo12
_cell_length_a 15.4456
_cell_length_b 15.4456
_cell_length_c 8.6818
_cell_angle_alpha 90.00
_cell_angle_beta 90.00
_cell_angle_gamma 120.00
_symmetry_space_group_name_H-M 'R -3'
_symmetry_Int_Tables_number 148
_symmetry_space_group_name_Hall '-R 3'
loop_
_atom_site_label
_atom_site_type_symbol
_atom_site_fract_x
_atom_site_fract_y
_atom_site_fract_z
Tb1 Tb 0.0353 0.7550 0.3332
Pr1 Pr 0.0000 0.0000 0.0000
Ho1 Ho 0.0176 0.8766 0.6656
Ho2 Ho 0.0694 0.5084 0.6670
```



2.
Computed, not measured: a relaxed structure of NdGaPt at the GGA-PBE level of DFT.

Results
Total magnetization: 0.000 μB/atom
ΔE_f: -2.38 eV per formula unit

CIF file:
```
data_NdGaPt
_cell_length_a 6.641
_cell_length_b 6.641
_cell_length_c 6.641
_cell_angle_alpha 90.00
_cell_angle_beta 90.00
_cell_angle_gamma 90.00
_symmetry_space_group_name_H-M 'F -4 3 m'
_symmetry_Int_Tables_number 216
_symmetry_space_group_name_Hall 'F -4 2 3'
loop_
_atom_site_label
_atom_site_type_symbol
_atom_site_fract_x
_atom_site_fract_y
_atom_site_fract_z
Nd1 Nd 0.000 0.000 0.000
Ga1 Ga 0.000 0.000 0.500
Pt1 Pt 0.250 0.250 0.250
```



3.
Computed, not measured: a relaxed structure of Ba6NaSr at the GGA-PBE level of DFT.

Results
Total magnetization: 0.024 μB/atom
ΔE_f: 0.36 eV per formula unit

CIF file:
```
data_Ba6NaSr
_cell_length_a 11.0965
_cell_length_b 11.0965
_cell_length_c 13.6087
_cell_angle_alpha 90.00
_cell_angle_beta 90.00
_cell_angle_gamma 120.00
_symmetry_space_group_name_H-M 'R -3'
_symmetry_Int_Tables_number 148
_symmetry_space_group_name_Hall '-R 3'
loop_
_atom_site_label
_atom_site_type_symbol
_atom_site_fract_x
_atom_site_fract_y
_atom_site_fract_z
Ba1 Ba 0.0006 0.7507 0.2505
Na1 Na 0.0000 0.0000 0.5000
Sr1 Sr 0.0000 0.0000 0.0000
```



4.
Computed, not measured: a relaxed structure of Rb3Nd3PaTe8 at the GGA-PBE level of DFT.

Results
VASP energy: -4.7455 eV per atom
Total magnetization: 0.069 μB/atom

CIF file:
```
data_Rb3Nd3PaTe8
_cell_length_a 9.1763
_cell_length_b 9.1763
_cell_length_c 26.1943
_cell_angle_alpha 90.00
_cell_angle_beta 90.00
_cell_angle_gamma 120.00
_symmetry_space_group_name_H-M 'R -3 m'
_symmetry_Int_Tables_number 166
_symmetry_space_group_name_Hall '-R 3 2"'
loop_
_atom_site_label
_atom_site_type_symbol
_atom_site_fract_x
_atom_site_fract_y
_atom_site_fract_z
Rb1 Rb 0.0000 0.5000 0.0000
Nd1 Nd 0.0000 0.5000 0.5000
Pa1 Pa 0.0000 0.0000 0.5000
Te1 Te 0.0000 0.0000 0.2350
Te2 Te 0.0077 0.5038 0.2331
```



5.
Computed, not measured: a relaxed structure of TaNbAl2H at the GGA-PBE level of DFT.

Results
Total magnetization: 0.000 μB/atom
Distance to the lowest polymorph of the same formula: 0.008 eV per atom

CIF file:
```
data_TaNbAl2H
_cell_length_a 4.127
_cell_length_b 4.127
_cell_length_c 4.056
_cell_angle_alpha 90.00
_cell_angle_beta 90.00
_cell_angle_gamma 90.00
_symmetry_space_group_name_H-M 'P 4/m m m'
_symmetry_Int_Tables_number 123
_symmetry_space_group_name_Hall '-P 4 2'
loop_
_atom_site_label
_atom_site_type_symbol
_atom_site_fract_x
_atom_site_fract_y
_atom_site_fract_z
Ta1 Ta 0.000 0.000 0.000
Nb1 Nb 0.500 0.500 0.000
Al1 Al 0.000 0.500 0.500
H1 H 0.500 0.500 0.500
```



6.
Computed, not measured: a relaxed structure of Cr2PdCl at the GGA-PBE level of DFT.

Results
Total magnetization: 0.000 μB/atom
Distance to the lowest polymorph of the same formula: 0.284 eV per atom

CIF file:
```
data_Cr2PdCl
_cell_length_a 6.004
_cell_length_b 6.004
_cell_length_c 6.004
_cell_angle_alpha 90.00
_cell_angle_beta 90.00
_cell_angle_gamma 90.00
_symmetry_space_group_name_H-M 'F m -3 m'
_symmetry_Int_Tables_number 225
_symmetry_space_group_name_Hall '-F 4 2 3'
loop_
_atom_site_label
_atom_site_type_symbol
_atom_site_fract_x
_atom_site_fract_y
_atom_site_fract_z
Cr1 Cr 0.250 0.250 0.250
Pd1 Pd 0.000 0.000 0.000
Cl1 Cl 0.000 0.000 0.500
```



7.
Computed, not measured: a relaxed structure of Tb12Sm3Zr at the GGA-PBE level of DFT.

Results
Total magnetization: 0.000 μB/atom
ΔE_f: 0.59 eV per formula unit

CIF file:
```
data_Tb12Sm3Zr
_cell_length_a 5.019
_cell_length_b 5.019
_cell_length_c 20.035
_cell_angle_alpha 90.00
_cell_angle_beta 90.00
_cell_angle_gamma 90.00
_symmetry_space_group_name_H-M 'P 4/m m m'
_symmetry_Int_Tables_number 123
_symmetry_space_group_name_Hall '-P 4 2'
loop_
_atom_site_label
_atom_site_type_symbol
_atom_site_fract_x
_atom_site_fract_y
_atom_site_fract_z
Tb1 Tb 0.000 0.000 0.000
Tb2 Tb 0.000 0.000 0.246
Tb3 Tb 0.000 0.000 0.500
Tb4 Tb 0.000 0.500 0.117
Tb5 Tb 0.000 0.500 0.373
Sm1 Sm 0.500 0.500 0.247
Sm2 Sm 0.500 0.500 0.500
Zr1 Zr 0.500 0.500 0.000
```



8.
Computed, not measured: a relaxed structure of EuLuCdGa at the GGA-PBE level of DFT.

Results
Total magnetization: 1.781 μB/atom
ΔE_f: -1.52 eV per formula unit

CIF file:
```
data_EuLuCdGa
_cell_length_a 7.420
_cell_length_b 7.420
_cell_length_c 7.420
_cell_angle_alpha 90.00
_cell_angle_beta 90.00
_cell_angle_gamma 90.00
_symmetry_space_group_name_H-M 'F -4 3 m'
_symmetry_Int_Tables_number 216
_symmetry_space_group_name_Hall 'F -4 2 3'
loop_
_atom_site_label
_atom_site_type_symbol
_atom_site_fract_x
_atom_site_fract_y
_atom_site_fract_z
Eu1 Eu 0.000 0.000 0.000
Lu1 Lu 0.000 0.000 0.500
Cd1 Cd 0.250 0.250 0.750
Ga1 Ga 0.250 0.250 0.250
```



9.
Computed, not measured: a relaxed structure of PuTl2I at the GGA-PBE level of DFT.

Results
VASP energy: -4.9715 eV per atom
Total magnetization: 1.670 μB/atom

CIF file:
```
data_PuTl2I
_cell_length_a 3.7795
_cell_length_b 3.7795
_cell_length_c 34.5490
_cell_angle_alpha 90.00
_cell_angle_beta 90.00
_cell_angle_gamma 120.00
_symmetry_space_group_name_H-M 'R -3 m'
_symmetry_Int_Tables_number 166
_symmetry_space_group_name_Hall '-R 3 2"'
loop_
_atom_site_label
_atom_site_type_symbol
_atom_site_fract_x
_atom_site_fract_y
_atom_site_fract_z
Pu1 Pu 0.0000 0.0000 0.0000
Tl1 Tl 0.0000 0.0000 0.0939
I1 I 0.0000 0.0000 0.5000
```



10.
Computed, not measured: a relaxed structure of Cs2NaReSe4 at the GGA-PBE level of DFT.

Results
VASP energy: -4.3753 eV per atom
Total magnetization: 0.250 μB/atom

CIF file:
```
data_Cs2NaReSe4
_cell_length_a 6.640
_cell_length_b 14.565
_cell_length_c 25.890
_cell_angle_alpha 90.00
_cell_angle_beta 90.00
_cell_angle_gamma 90.00
_symmetry_space_group_name_H-M 'F d d d'
_symmetry_Int_Tables_number 70
loop_
_symmetry_equiv_pos_as_xyz
'x,y,z'
'-x,-y,-z'
'-x+1/4,-y+1/4,z'
'x+1/4,y+1/4,-z'
'x,-y+1/4,-z+1/4'
'-x,y+1/4,z+1/4'
'-x+1/4,y,-z+1/4'
'x+1/4,-y,z+1/4'
'x,y+1/2,z+1/2'
'-x,-y+1/2,-z+1/2'
'-x+1/4,-y+3/4,z+1/2'
'x+1/4,y+3/4,-z+1/2'
'x,-y+3/4,-z+3/4'
'-x,y+3/4,z+3/4'
'-x+1/4,y+1/2,-z+3/4'
'x+1/4,-y+1/2,z+3/4'
'x+1/2,y,z+1/2'
'-x+1/2,-y,-z+1/2'
'-x+3/4,-y+1/4,z+1/2'
'x+3/4,y+1/4,-z+1/2'
'x+1/2,-y+1/4,-z+3/4'
'-x+1/2,y+1/4,z+3/4'
'-x+3/4,y,-z+3/4'
'x+3/4,-y,z+3/4'
'x+1/2,y+1/2,z'
'-x+1/2,-y+1/2,-z'
'-x+3/4,-y+3/4,z'
'x+3/4,y+3/4,-z'
'x+1/2,-y+3/4,-z+1/4'
'-x+1/2,y+3/4,z+1/4'
'-x+3/4,y+1/2,-z+1/4'
'x+3/4,-y+1/2,z+1/4'
loop_
_atom_site_label
_atom_site_type_symbol
_atom_site_fract_x
_atom_site_fract_y
_atom_site_fract_z
Cs1 Cs 0.125 0.125 0.305
Na1 Na 0.125 0.125 0.125
Re1 Re 0.125 0.125 0.625
Se1 Se 0.072 0.278 0.821
```



11.
Computed, not measured: a relaxed structure of Er3NpTl3Te8 at the GGA-PBE level of DFT.

Results
VASP energy: -4.8683 eV per atom
Total magnetization: 0.202 μB/atom

CIF file:
```
data_Er3NpTl3Te8
_cell_length_a 8.7785
_cell_length_b 8.7785
_cell_length_c 24.7447
_cell_angle_alpha 90.00
_cell_angle_beta 90.00
_cell_angle_gamma 120.00
_symmetry_space_group_name_H-M 'R -3 m'
_symmetry_Int_Tables_number 166
_symmetry_space_group_name_Hall '-R 3 2"'
loop_
_atom_site_label
_atom_site_type_symbol
_atom_site_fract_x
_atom_site_fract_y
_atom_site_fract_z
Er1 Er 0.0000 0.5000 0.0000
Np1 Np 0.0000 0.0000 0.0000
Tl1 Tl 0.0000 0.5000 0.5000
Te1 Te 0.0000 0.0000 0.2627
Te2 Te 0.0010 0.5005 0.2630
```



12.
Computed, not measured: a relaxed structure of LaHfV2As at the GGA-PBE level of DFT.

Results
Total magnetization: 0.000 μB/atom
ΔE_f: 7.88 eV per formula unit

CIF file:
```
data_LaHfV2As
_cell_length_a 4.511
_cell_length_b 4.511
_cell_length_c 5.332
_cell_angle_alpha 90.00
_cell_angle_beta 90.00
_cell_angle_gamma 90.00
_symmetry_space_group_name_H-M 'P 4/m m m'
_symmetry_Int_Tables_number 123
_symmetry_space_group_name_Hall '-P 4 2'
loop_
_atom_site_label
_atom_site_type_symbol
_atom_site_fract_x
_atom_site_fract_y
_atom_site_fract_z
La1 La 0.000 0.000 0.000
Hf1 Hf 0.000 0.000 0.500
V1 V 0.000 0.500 0.000
As1 As 0.500 0.500 0.500
```



13.
Computed, not measured: a relaxed structure of Ce5HoBi4 at the GGA-PBE level of DFT.

Results
Total magnetization: 0.404 μB/atom
ΔE_f: -4.18 eV per formula unit

CIF file:
```
data_Ce5HoBi4
_cell_length_a 10.320
_cell_length_b 12.123
_cell_length_c 5.328
_cell_angle_alpha 90.00
_cell_angle_beta 90.00
_cell_angle_gamma 90.00
_symmetry_space_group_name_H-M 'P m m n'
_symmetry_Int_Tables_number 59
loop_
_symmetry_equiv_pos_as_xyz
'x,y,z'
'-x,-y,-z'
'-x+1/2,-y+1/2,z'
'x+1/2,y+1/2,-z'
'x+1/2,-y,-z'
'-x+1/2,y,z'
'-x,y+1/2,-z'
'x,-y+1/2,z'
loop_
_atom_site_label
_atom_site_type_symbol
_atom_site_fract_x
_atom_site_fract_y
_atom_site_fract_z
Ce1 Ce 0.068 0.026 0.197
Ce2 Ce 0.250 0.250 0.695
Ho1 Ho 0.250 0.750 0.574
Bi1 Bi 0.051 0.750 0.099
Bi2 Bi 0.250 0.506 0.699
```